Entry 1:
Computed, not measured: an optimized crystal structure of Ca4MgZn2 at the PBE level of DFT.

Geometry as extended XYZ:
```
14
Lattice="-4.042 -8.290 -2.088 4.644 -3.537 -7.439 3.270 3.298 8.237" Properties=species:S:1:pos:R:3 pbc="T T T"
Mg 0.452 -8.871 -7.146
Mg 0.151 -2.957 -2.382
Zn 0.452 -3.110 3.889
Zn 3.421 -5.420 -5.180
Zn 0.934 -7.853 -2.317
Zn 2.938 -0.677 1.027
Ca 5.104 0.596 2.898
Ca -1.396 -5.892 -1.583
Ca 1.027 -0.061 3.456
Ca 2.681 -5.235 -2.141
Ca 1.192 -3.295 0.851
Ca 2.846 -8.469 -4.746
Ca 5.269 -2.638 0.292
Ca -1.232 -9.126 -4.188
```

Calculated values
Total energy = -12.1 eV per formula unit
E above lowest polymorph = 124 meV/atom
SG = I4/mcm

---

Entry 2:
Computed, not measured: an optimized crystal structure of CaMgZn at the PBE level of DFT.

Geometry as extended XYZ:
```
12
Lattice="-4.332 0.446 -4.147 -3.550 -3.356 3.348 -2.927 6.887 3.799" Properties=species:S:1:pos:R:3 pbc="T T T"
Ca -5.665 1.907 -0.416
Ca -5.144 2.070 3.416
Ca -8.185 4.353 2.479
Ca -2.624 -0.375 0.521
Mg -2.693 4.695 3.318
Mg -5.950 -0.940 1.755
Mg -3.784 -1.163 3.828
Mg -4.859 4.918 1.245
Zn -3.932 0.118 -2.420
Zn -6.877 3.859 5.419
Zn -7.840 1.251 1.785
Zn -2.969 2.726 1.215
```

Calculated values
Total energy = -5.5 eV per formula unit
SG = Pbcm

---

Entry 3:
Computed, not measured: an optimized crystal structure of CaMgZn at the PBE level of DFT.

Geometry as extended XYZ:
```
12
Lattice="3.713 0.000 0.000 0.000 7.975 0.000 0.000 0.000 10.459" Properties=species:S:1:pos:R:3 pbc="T T T"
Ca 0.000 4.358 5.826
Ca 0.000 0.371 4.632
Ca 0.000 1.177 9.095
Ca 0.000 5.164 1.363
Mg 1.857 0.156 1.722
Mg 1.857 4.144 8.736
Mg 1.857 2.984 3.385
Mg 1.857 6.971 7.073
Zn 1.857 5.950 3.843
Zn 1.857 1.962 6.616
Zn 1.857 2.714 0.661
Zn 1.857 6.702 9.797
```

Calculated values
Total energy = -5.2 eV per formula unit
SG = Pmc2_1

---

Entry 4:
Computed, not measured: an optimized crystal structure of CaMg2Zn at the PBE level of DFT.

Geometry as extended XYZ:
```
4
Lattice="5.797 -0.056 -0.037 3.888 4.300 -0.037 3.888 1.704 3.948" Properties=species:S:1:pos:R:3 pbc="T T T"
Ca 0.000 0.000 0.000
Mg 2.918 1.278 0.833
Mg 10.656 4.669 3.042
Zn 6.787 2.974 1.938
```

Calculated values
Total energy = -6.5 eV per formula unit
SG = R-3m

---

Entry 5:
Computed, not measured: an optimized crystal structure of Ca2MgZn2 at the PBE level of DFT.

Geometry as extended XYZ:
```
10
Lattice="-0.134 -8.589 1.436 3.841 -1.347 -7.699 3.132 0.206 1.526" Properties=species:S:1:pos:R:3 pbc="T T T"
Mg 0.000 0.000 0.000
Mg 1.853 -4.968 -3.131
Zn 4.047 -2.071 -4.032
Zn 4.740 -6.632 -4.838
Zn 2.793 -7.658 -0.704
Zn 2.100 -3.097 0.101
Ca 3.240 -4.210 -6.079
Ca 2.359 -8.219 -3.730
Ca 0.467 -5.726 -0.184
Ca 1.348 -1.717 -2.533
```

Calculated values
Total energy = -8.1 eV per formula unit
SG = P4/mbm

---

Entry 6:
Computed, not measured: an optimized crystal structure of Ca2MgZn at the PBE level of DFT.

Geometry as extended XYZ:
```
8
Lattice="-0.054 9.077 -2.954 -0.508 4.452 -8.428 -3.301 -6.705 5.938" Properties=species:S:1:pos:R:3 pbc="T T T"
Ca -1.677 1.186 1.492
Ca -1.904 -1.127 -1.245
Ca -0.193 4.659 -3.920
Ca -0.368 8.870 -7.462
Mg -0.086 2.072 -1.743
Mg -0.475 11.457 -9.639
Zn -1.818 4.568 -1.353
Zn -2.045 2.256 -4.091
```

Calculated values
Total energy = -7.3 eV per formula unit
E above lowest polymorph = 63 meV/atom
SG = I4/mmm